Material: NaTcSn2Rh
Method: DFT, PBE-GGA
State: relaxed

a b c (Å): 5.1686 5.1686 4.8337
angles (deg): 90.00 90.00 90.00
With the nearest neighbours (Å) after each atom.
Space group P4/mmm (No. 123)
Unique sites:
Na1 0.0000 0.0000 0.0000 x1  8 Sn 3.54, 4 Rh 3.65
Tc1 0.5000 0.5000 0.5000 x1  2 Rh 2.42, 4 Sn 2.58
Sn1 0.0000 0.5000 0.5000 x2  2 Tc 2.58
Rh1 0.5000 0.5000 0.0000 x1  2 Tc 2.42

Results
Its formation energy is 0.4449 eV/atom.


Material: Er2Zn3Au2
Method: DFT, PBE-GGA
State: relaxed

a b c (Å): 9.8391 4.4982 6.6267
angles (deg): 90.00 110.23 90.00
With the nearest neighbours (Å) after each atom.
Space group C2/m (No. 12)
Unique sites:
Er1 0.1466 0.0000 0.2675 x4  4 Au 2.97-3.00, 8 Zn 3.12-3.32
Zn1 0.0000 0.5000 0.5000 x2  2 Zn 2.63, 4 Au 2.83
Zn2 0.1009 0.5000 0.9233 x4  2 Zn 2.52-2.63, 3 Au 2.72-2.75
Au1 0.1542 0.0000 0.7233 x4  5 Zn 2.72-2.83, 4 Er 2.97-3.00

Results
Its formation energy is -0.5767 eV/atom. The excess energy over the best structure of this formula in the dataset comes out at 0.000 eV per atom.


Material: Nb2CrOsN
Method: DFT, PBE-GGA
State: relaxed

a b c (Å): 4.2981 4.2981 3.7179
angles (deg): 90.00 90.00 90.00
With the nearest neighbours (Å) after each atom.
Space group P4/mmm (No. 123)
Unique sites:
Nb1 0.0000 0.5000 0.0000 x2  2 N 2.15
Cr1 0.0000 0.0000 0.5000 x1  2 N 1.86
Os1 0.5000 0.5000 0.5000 x1  8 Nb 2.84, 4 Cr 3.04
N1 0.0000 0.0000 0.0000 x1  2 Cr 1.86

Results
As for the total energy: -51.152 eV per cell.


Copy entry 1 word for word.
Material: NaTcSn2Rh
Method: DFT, PBE-GGA
State: relaxed

a b c (Å): 5.1686 5.1686 4.8337
angles (deg): 90.00 90.00 90.00
With the nearest neighbours (Å) after each atom.
Space group P4/mmm (No. 123)
Unique sites:
Na1 0.0000 0.0000 0.0000 x1  8 Sn 3.54, 4 Rh 3.65
Tc1 0.5000 0.5000 0.5000 x1  2 Rh 2.42, 4 Sn 2.58
Sn1 0.0000 0.5000 0.5000 x2  2 Tc 2.58
Rh1 0.5000 0.5000 0.0000 x1  2 Tc 2.42

Results
Its formation energy is 0.4449 eV/atom.